{
  "formula": "BaRhOF2",
  "functional": "GGA-PBE",
  "state": "optimized geometry",
  "energy_ev_per_atom": -5.550,
  "formation_energy_uncorrected_mev_per_atom": -1955,
  "spacegroup": "No. 123",
  "dos_ef_per_ev_fu": 3.8,
  "cell": [[4.462, 0.000, 0.000], [0.000, 4.462, 0.000], [0.000, 0.000, 3.993]],
  "species": ["Ba", "Rh", "O", "F", "F"],
  "fractional_positions": [[0.000, 0.000, 0.000], [0.500, 0.500, 0.500], [0.500, 0.500, 0.000], [0.000, 0.500, 0.500], [0.500, 0.000, 0.500]]
}

***

{
  "formula": "Pm2Si3Ni5",
  "functional": "GGA-PBE",
  "state": "optimized geometry",
  "energy_ev_per_atom": -6.138,
  "formation_energy_uncorrected_mev_per_atom": -670,
  "spacegroup": "No. 72",
  "dos_ef_per_ev_fu": 8.0,
  "cell": [[-4.702, 5.841, 2.824], [4.702, -5.841, 2.824], [4.702, 5.841, -2.824]],
  "species": ["Pm", "Pm", "Pm", "Pm", "Si", "Si", "Si", "Si", "Si", "Si", "Ni", "Ni", "Ni", "Ni", "Ni", "Ni", "Ni", "Ni", "Ni", "Ni"],
  "fractional_positions": [[0.129, 0.244, 0.373], [0.371, 0.744, 0.115], [0.629, 0.256, 0.885], [0.871, 0.756, 0.627], [0.117, 0.634, 0.751], [0.250, 0.250, 0.000], [0.383, 0.134, 0.518], [0.617, 0.866, 0.482], [0.750, 0.750, 0.000], [0.883, 0.366, 0.249], [0.020, 0.750, 0.270], [0.124, 0.882, 0.005], [0.250, 0.750, 0.500], [0.376, 0.382, 0.758], [0.480, 0.750, 0.730], [0.520, 0.250, 0.270], [0.624, 0.618, 0.242], [0.750, 0.250, 0.500], [0.876, 0.118, 0.995], [0.980, 0.250, 0.730]]
}

***

{
  "formula": "ZnCdCo",
  "functional": "GGA-PBE",
  "state": "optimized geometry",
  "energy_ev_per_atom": -2.950,
  "spacegroup": "No. 107",
  "formation_energy_mev_per_atom": 149,
  "dos_ef_per_ev_fu": 2.2,
  "cell": [[-1.502, 1.502, 4.999], [1.502, -1.502, 4.999], [1.502, 1.502, -4.999]],
  "species": ["Zn", "Cd", "Co"],
  "fractional_positions": [[0.000, 0.000, 0.000], [0.702, 0.702, 0.000], [0.376, 0.376, 0.000]]
}